[1]
First-principles (PBE) data for a relaxed structure of TaNiIr, as listed in Alexandria via LeMat-Bulk.

```
TaNiIr
1.0
4.2868 0.0000 0.0000
-2.1434 3.7125 0.0000
0.0000 0.0000 5.3958
Ni Ir Ta
2 2 2
direct
0.3333 0.6667 0.2500 Ni
0.6667 0.3333 0.7500 Ni
0.0000 0.0000 0.5000 Ir
0.0000 0.0000 0.0000 Ir
0.6667 0.3333 0.2500 Ta
0.3333 0.6667 0.7500 Ta
```

Properties
Calculated total energy ... -9.32 eV/atom
Offset from the most stable computed form ... 0 meV per atom
Total moment ... 0.0 μB/f.u.
Fermi-level density of states ... 0.244 states/eV/atom

***

[2]
First-principles (PBE) data for a relaxed structure of Sc4TeS2, as listed in Alexandria via LeMat-Bulk.

```
Sc4TeS2
1.0
3.7455 0.0000 0.0000
-1.8727 6.1050 0.0000
0.0000 0.0000 12.5437
Sc S Te
8 4 2
direct
0.5000 0.0000 0.5000 Sc
0.5000 0.0000 0.0000 Sc
0.7672 0.5343 0.1155 Sc
0.7672 0.5343 0.3845 Sc
0.2328 0.4657 0.6155 Sc
0.9212 0.8423 0.7500 Sc
0.0788 0.1577 0.2500 Sc
0.2328 0.4657 0.8845 Sc
0.8654 0.7307 0.5593 S
0.1346 0.2693 0.4407 S
0.8654 0.7307 0.9407 S
0.1346 0.2693 0.0593 S
0.3965 0.7930 0.2500 Te
0.6035 0.2070 0.7500 Te
```

Properties
Calculated total energy ... -6.66 eV/atom
Raw formation energy ... -1.4180 eV/atom
Total moment ... 0.0 μB/f.u.
Fermi-level density of states ... 0.656 states/eV/atom